Compound: Na2Cr2ReO6
Source: Alexandria
Functional: PBE with a Hubbard U
Structure: relaxed

Cell and atoms, written as POSCAR:
```
Na2Cr2ReO6
1.0
5.278 -0.049 0.032
-2.651 4.564 0.032
-0.941 -1.618 5.504
Re O Cr Na
1 6 2 2
Direct
0.000 0.000 0.500
0.604 0.945 0.311
0.733 0.733 0.696
0.055 0.396 0.689
0.396 0.055 0.689
0.267 0.267 0.304
0.945 0.604 0.311
0.663 0.337 0.500
0.337 0.663 0.500
0.168 0.832 0.000
0.832 0.168 0.000
```

DOS(E_F)   0.083 states/eV/atom
Final energy   -7.11 eV/atom